Entry 1:
This record from Alexandria describes crystalline Pm10Nd4Sm at its relaxed geometry. The functional is GGA-PBE.

D(E_F) ... 55.7 states/eV per cell
DFT total energy ... -4.03 eV per atom
DFT formation energy ... 10.8 eV per formula unit
V ... 40.5 Å³/atom

Cell: 12.4239 12.4239 7.8688 Å, 90.00 90.00 90.00°
Space group I4/m (No. 87)
Unique sites:
1 Pm 0.0000 0.5000 0.2500
2 Pm 0.0990 0.1998 0.2492
3 Nd 0.1005 0.7010 0.5000
4 Sm 0.0000 0.0000 0.0000

---

Entry 2:
This record from Alexandria describes crystalline Pm2Nd9Sm at its relaxed geometry. The functional is GGA-PBE.

D(E_F) ... 19.8 states/eV per cell
DFT total energy ... -4.75 eV per atom
DFT formation energy ... 0.2 eV per formula unit
V ... 34.9 Å³/atom

Cell: 5.1895 5.1895 15.5651 Å, 90.00 90.00 90.00°
Space group P4/mmm (No. 123)
Unique sites:
1 Pm 0.0000 0.0000 0.1669
2 Nd 0.0000 0.5000 0.0000
3 Nd 0.0000 0.5000 0.3337
4 Nd 0.5000 0.5000 0.1668
5 Nd 0.5000 0.5000 0.5000
6 Sm 0.0000 0.0000 0.5000

---

Entry 3:
This record from Alexandria describes crystalline Pm2Nd4Sm at its relaxed geometry. The functional is GGA-PBE.

D(E_F) ... 28.2 states/eV per cell
DFT total energy ... -4.75 eV per atom
DFT formation energy ... 0.1 eV per formula unit
V ... 34.8 Å³/atom
Energy relative to the lowest polymorph listed for this composition ... 0.000 eV/atom

Cell: 3.6663 3.6663 62.7076 Å, 90.00 90.00 120.00°
Space group R-3m (No. 166, hexagonal axes)
Unique sites:
1 Pm 0.0000 0.0000 0.0716
2 Nd 0.0000 0.0000 0.2141
3 Nd 0.0000 0.0000 0.3573
4 Sm 0.0000 0.0000 0.5000

---

Entry 4:
This record from Alexandria describes crystalline Pm2Nd3Sm4 at its relaxed geometry. The functional is GGA-PBE.

D(E_F) ... 16.5 states/eV per cell
DFT total energy ... -4.68 eV per atom
DFT formation energy ... 0.6 eV per formula unit
V ... 34.9 Å³/atom
Energy relative to the lowest polymorph listed for this composition ... 0.000 eV/atom

Cell: 3.6533 3.6533 27.1801 Å, 90.00 90.00 120.00°
Space group P3m1 (No. 156)
Unique sites:
1 Pm 0.0000 0.0000 0.0000
2 Pm 0.0000 0.0000 0.2199
3 Nd 0.0000 0.0000 0.7822
4 Nd 0.3333 0.6667 0.1133
5 Nd 0.3333 0.6667 0.4523
6 Sm 0.0000 0.0000 0.3463
7 Sm 0.0000 0.0000 0.5649
8 Sm 0.3333 0.6667 0.6716
9 Sm 0.3333 0.6667 0.8926

---

Entry 5:
This record from Alexandria describes crystalline Pm2Nd3Sm2 at its relaxed geometry. The functional is GGA-PBE.

D(E_F) ... 10.5 states/eV per cell
DFT total energy ... -4.71 eV per atom
DFT formation energy ... 0.3 eV per formula unit
V ... 34.6 Å³/atom
Energy relative to the lowest polymorph listed for this composition ... 0.000 eV/atom

Cell: 3.6010 5.6867 12.2962 Å, 103.13 98.40 90.00°
Space group P-1 (No. 2)
Unique sites:
1 Pm 0.0783 0.0778 0.1543
2 Nd 0.2787 0.7785 0.5571
3 Nd 0.5000 0.5000 0.0000
4 Sm 0.3553 0.3561 0.7138

---

Entry 6:
This record from Alexandria describes crystalline Pm12Nd7Sm at its relaxed geometry. The functional is GGA-PBE.

D(E_F) ... 57.5 states/eV per cell
DFT total energy ... -4.16 eV per atom
DFT formation energy ... 11.9 eV per formula unit
V ... 39.0 Å³/atom
Energy relative to the lowest polymorph listed for this composition ... 0.377 eV/atom

Cell: 11.6019 11.6019 11.6019 Å, 90.00 90.00 90.00°
Space group Im-3 (No. 204)
Unique sites:
1 Pm 0.0000 0.2484 0.2495
2 Nd 0.0000 0.0000 0.5000
3 Nd 0.2500 0.2500 0.2500
4 Sm 0.0000 0.0000 0.0000

---

Entry 7:
This record from Alexandria describes crystalline Pm4NdSm10 at its relaxed geometry. The functional is GGA-PBE.

D(E_F) ... 53.8 states/eV per cell
DFT total energy ... -4.31 eV per atom
DFT formation energy ... 6.2 eV per formula unit
V ... 36.5 Å³/atom

Cell: 9.9656 9.9656 11.0384 Å, 90.00 90.00 90.00°
Space group I4/m (No. 87)
Unique sites:
1 Pm 0.0574 0.7153 0.0000
2 Nd 0.0000 0.0000 0.5000
3 Sm 0.0000 0.5000 0.2500
4 Sm 0.1211 0.7780 0.3307

---

Entry 8:
This record from Alexandria describes crystalline Pm5Nd8Sm at its relaxed geometry. The functional is GGA-PBE.

D(E_F) ... 40.9 states/eV per cell
DFT total energy ... -4.53 eV per atom
DFT formation energy ... 3.2 eV per formula unit
V ... 35.6 Å³/atom

Cell: 9.7848 9.7848 10.3981 Å, 90.00 90.00 90.00°
Space group I-4 (No. 82)
Unique sites:
1 Pm 0.0000 0.0000 0.0000
2 Pm 0.1073 0.7919 0.5737
3 Nd 0.0706 0.6748 0.8998
4 Nd 0.0824 0.8175 0.2453
5 Sm 0.0000 0.5000 0.2500

---

Entry 9:
This record from Alexandria describes crystalline Pm8NdSm5 at its relaxed geometry. The functional is GGA-PBE.

D(E_F) ... 41.0 states/eV per cell
DFT total energy ... -4.51 eV per atom
DFT formation energy ... 3.2 eV per formula unit
V ... 35.0 Å³/atom

Cell: 9.7062 9.7062 10.3931 Å, 90.00 90.00 90.00°
Space group I-4 (No. 82)
Unique sites:
1 Pm 0.0710 0.3241 0.3979
2 Pm 0.0833 0.1806 0.7458
3 Nd 0.0000 0.5000 0.7500
4 Sm 0.0000 0.0000 0.5000
5 Sm 0.1082 0.2084 0.0731

---

Entry 10:
This record from Alexandria describes crystalline Pm4Nd2Sm at its relaxed geometry. The functional is GGA-PBE.

D(E_F) ... 19.1 states/eV per cell
DFT total energy ... -4.57 eV per atom
DFT formation energy ... 1.3 eV per formula unit
V ... 36.0 Å³/atom
Energy relative to the lowest polymorph listed for this composition ... 0.175 eV/atom

Cell: 7.0531 10.5375 7.0988 Å, 90.00 107.17 90.00°
Space group P2/m (No. 10)
Unique sites:
1 Pm 0.2293 0.2146 0.1904
2 Pm 0.2311 0.2825 0.6899
3 Nd 0.0000 0.5000 0.0000
4 Nd 0.5000 0.0000 0.0000
5 Nd 0.5000 0.5000 0.0000
6 Nd 0.5000 0.5000 0.5000
7 Sm 0.0000 0.0000 0.5000
8 Sm 0.5000 0.0000 0.5000

---

- Which of these has the highest D(E_F)?
  Pm12Nd7Sm